(1)
Computed, not measured: a relaxed structure of HgPSeO2 at the GGA-PBE level of DFT.

a b c (Å): 3.818 3.818 5.213
angles (deg): 90.00 90.00 90.00
Sites, in units of the cell vectors:
O  0.500  0.000  0.000
Hg  0.500  0.500  0.500
Se  0.000  0.000  0.000
O  0.000  0.500  0.000
P  0.000  0.000  0.500

Output
Polymorph energy (0 for the lowest one)   0 meV per atom
Raw formation energy   0.086 eV per atom



(2)
Computed, not measured: a relaxed structure of Pm2Sc12Ir7 at the GGA-PBE level of DFT.

a b c (Å): 4.133 11.151 11.151
angles (deg): 120.00 90.00 90.00
Sites, in units of the cell vectors:
Sc  0.500  0.231  0.786
Sc  0.500  0.893  0.614
Sc  0.000  0.483  0.943
Sc  0.500  0.214  0.446
Pm  0.500  0.000  0.000
Ir  0.500  0.933  0.373
Ir  0.000  0.333  0.667
Ir  0.000  0.739  0.963
Ir  0.000  0.037  0.776
Sc  0.500  0.721  0.107
Sc  0.500  0.554  0.769
Sc  0.000  0.057  0.540
Sc  0.500  0.386  0.279
Ir  0.500  0.439  0.067
Sc  0.000  0.265  0.036
Ir  0.500  0.627  0.561
Pm  0.000  0.667  0.333
Sc  0.000  0.771  0.735
Sc  0.000  0.964  0.229
Sc  0.000  0.460  0.517
Ir  0.000  0.224  0.261

Output
Energy relative to the elements   -15.40 eV per formula unit



(3)
Computed, not measured: a relaxed structure of Li2NdHg6 at the GGA-PBE level of DFT.

a b c (Å): 8.871 8.871 8.871
angles (deg): 60.00 60.00 60.00
Sites, in units of the cell vectors:
Hg  0.500  0.500  0.000
Nd  0.500  0.500  0.500
Hg  0.000  0.500  0.500
Hg  0.500  0.000  0.000
Li  0.625  0.125  0.125
Li  0.125  0.125  0.625
Hg  0.750  0.750  0.250
Hg  0.750  0.250  0.250
Hg  0.250  0.750  0.250
Li  0.125  0.125  0.125
Hg  0.000  0.500  0.000
Li  0.125  0.625  0.125
Nd  0.750  0.750  0.750
Hg  0.750  0.250  0.750
Hg  0.250  0.750  0.750
Hg  0.000  0.000  0.500
Hg  0.500  0.000  0.500
Hg  0.250  0.250  0.750

Output
Energy relative to the elements   -0.13 eV per formula unit



(4)
Computed, not measured: a relaxed structure of Tl2AsS5 at the GGA-PBE level of DFT.

a b c (Å): 5.034 8.792 8.250
angles (deg): 132.13 117.83 78.40
Sites, in units of the cell vectors:
S  0.376  0.900  0.187
S  0.311  0.233  0.065
Tl  0.881  0.290  0.545
S  0.711  0.819  0.082
Tl  0.198  0.703  0.342
S  0.448  0.148  0.823
As  0.965  0.979  0.942
S  0.886  0.705  0.568

Output
Raw formation energy   -0.101 eV per atom



(5)
Computed, not measured: a relaxed structure of ErNpRh4 at the GGA-PBE level of DFT.

a b c (Å): 5.315 5.315 5.315
angles (deg): 60.00 60.00 60.00
Site moments in Bohr magnetons follow the coordinates.
Sites, in units of the cell vectors:
Er  0.000  0.000  0.000  0.21
Np  0.250  0.250  0.250  3.65
Rh  0.625  0.125  0.625  -0.15
Rh  0.625  0.625  0.125  -0.15
Rh  0.125  0.625  0.625  -0.15
Rh  0.625  0.625  0.625  -0.15

Output
Polymorph energy (0 for the lowest one)   0 meV per atom
Energy relative to the elements   -3.13 eV per formula unit



(6)
Computed, not measured: a relaxed structure of ScTa2Pt9 at the GGA-PBE level of DFT.

a b c (Å): 3.998 3.998 12.049
angles (deg): 90.00 90.00 90.00
Sites, in units of the cell vectors:
Pt  0.000  0.500  0.829
Ta  0.000  0.000  0.670
Ta  0.000  0.000  0.330
Pt  0.500  0.000  0.829
Pt  0.500  0.500  0.663
Sc  0.000  0.000  0.000
Pt  0.500  0.000  0.171
Pt  0.000  0.500  0.171
Pt  0.000  0.500  0.500
Pt  0.500  0.500  0.000
Pt  0.500  0.500  0.337
Pt  0.500  0.000  0.500

Output
Energy relative to the elements   -9.49 eV per formula unit



(7)
Computed, not measured: a relaxed structure of Pr3Sn4Ru2 at the GGA-PBE level of DFT.

a b c (Å): 4.763 6.208 8.843
angles (deg): 106.49 90.00 112.56
Sites, in units of the cell vectors:
Sn  0.709  0.417  0.083
Pr  0.000  0.000  0.000
Sn  0.291  0.583  0.917
Ru  0.686  0.371  0.372
Sn  0.095  0.189  0.398
Ru  0.314  0.629  0.628
Pr  0.374  0.748  0.311
Sn  0.905  0.811  0.602
Pr  0.626  0.252  0.689

Output
Energy relative to the elements   -5.04 eV per formula unit



(8)
Computed, not measured: a relaxed structure of Dy2Ag3Au2 at the GGA-PBE level of DFT.

a b c (Å): 3.604 4.056 10.617
angles (deg): 101.01 90.00 90.00
Sites, in units of the cell vectors:
Dy  0.000  0.149  0.298
Ag  0.000  0.000  0.000
Dy  0.000  0.851  0.702
Au  0.500  0.705  0.409
Ag  0.500  0.434  0.868
Au  0.500  0.295  0.591
Ag  0.500  0.566  0.132

Output
Energy relative to the elements   -3.15 eV per formula unit



Number 1: calculated volume 75.98 Å³ per cell. Number 2: calculated volume 445.03 Å³ per cell. Number 3: calculated volume 493.58 Å³ per cell. Number 4: calculated volume 235.97 Å³ per cell. Number 5: calculated volume 106.17 Å³ per cell. Number 6: calculated volume 192.57 Å³ per cell. Number 7: calculated volume 229.79 Å³ per cell. Number 8: calculated volume 152.33 Å³ per cell.